No. 1
DFT (PBE) results for a relaxed structure of YCoTcSb.

Properties
The value obtained for the energy above the most stable polymorph in this dataset is 1.82 eV per formula unit. The mass density comes out at 8.2 g cm⁻³.

a = 4.720 Å, b = 4.720 Å, c = 4.720 Å
α = 60.00°, β = 60.00°, γ = 60.00°
Positions (direct):
Co: 0.750 0.750 0.750
Tc: 0.500 0.500 0.500
Sb: 0.000 0.000 0.000
Y: 0.250 0.250 0.250

No. 2
DFT (PBE) results for a relaxed structure of ZnCoTcSb.

Properties
The value obtained for the energy above the most stable polymorph in this dataset is 0.00 eV per formula unit. The mass density comes out at 9.8 g cm⁻³.

a = 4.359 Å, b = 4.359 Å, c = 4.359 Å
α = 60.00°, β = 60.00°, γ = 60.00°
Positions (direct):
Zn: 0.500 0.500 0.500
Tc: 0.250 0.250 0.250
Sb: 0.000 0.000 0.000
Co: 0.750 0.750 0.750

No. 3
DFT (PBE) results for a relaxed structure of CoSb2Te.

Properties
The total energy comes out at -4.05 eV per atom. The mass density comes out at 7.8 g cm⁻³.

a = 5.052 Å, b = 5.052 Å, c = 5.052 Å
α = 60.00°, β = 60.00°, γ = 60.00°
Positions (direct):
Sb: 0.000 0.000 0.000
Sb: 0.750 0.750 0.750
Te: 0.500 0.500 0.500
Co: 0.250 0.250 0.250

No. 4
DFT (PBE) results for a relaxed structure of CoSbTe.

Properties
The total energy comes out at -4.73 eV per atom. The mass density comes out at 7.9 g cm⁻³.

a = 4.508 Å, b = 4.508 Å, c = 4.508 Å
α = 60.00°, β = 60.00°, γ = 60.00°
Positions (direct):
Sb: 0.250 0.250 0.250
Te: 0.750 0.750 0.750
Co: 0.000 0.000 0.000

No. 5
DFT (PBE) results for a relaxed structure of ThCoSb.

Properties
The total energy comes out at -6.57 eV per atom. The mass density comes out at 10.5 g cm⁻³.

a = 6.902 Å, b = 6.902 Å, c = 4.760 Å
α = 90.00°, β = 90.00°, γ = 120.00°
Each line ends with the local moment (μB).
Positions (direct):
Co: 0.769 0.769 0.000  0.96
Co: 0.000 0.231 0.000  1.08
Co: 0.231 0.000 0.000  1.01
Th: 0.524 0.000 0.500  -0.05
Th: 0.476 0.476 0.500  -0.05
Th: 0.000 0.524 0.500  -0.06
Sb: 0.000 0.000 0.500  0.03
Sb: 0.333 0.667 0.000  0.00
Sb: 0.667 0.333 0.000  0.00

No. 6
DFT (PBE) results for a relaxed structure of Th3Co3Sb4.

Properties
The total energy comes out at -6.73 eV per atom. The mass density comes out at 10.2 g cm⁻³.

a = 8.312 Å, b = 8.312 Å, c = 8.312 Å
α = 109.47°, β = 109.47°, γ = 109.47°
Each line ends with the local moment (μB).
Positions (direct):
Th: 0.250 0.625 0.875  0.00
Th: 0.750 0.875 0.625  0.00
Th: 0.875 0.750 0.125  0.00
Th: 0.125 0.375 0.250  0.00
Th: 0.375 0.125 0.750  0.00
Th: 0.625 0.250 0.375  0.00
Co: 0.125 0.250 0.875  0.30
Co: 0.250 0.125 0.375  0.29
Co: 0.375 0.750 0.625  0.30
Co: 0.625 0.875 0.250  0.29
Co: 0.750 0.375 0.125  0.29
Co: 0.875 0.625 0.750  0.29
Sb: 0.341 0.841 0.341  0.01
Sb: 0.500 0.500 0.659  0.01
Sb: 0.500 0.500 0.159  0.01
Sb: 0.000 0.159 0.500  0.01
Sb: 0.841 0.341 0.841  0.01
Sb: 0.159 0.000 0.000  0.01
Sb: 0.659 0.000 0.000  0.01
Sb: 0.000 0.659 0.500  0.01

No. 7
DFT (PBE) results for a relaxed structure of ThCoSb.

Properties
The total energy comes out at -6.78 eV per atom. The mass density comes out at 10.7 g cm⁻³.

a = 7.203 Å, b = 7.203 Å, c = 4.279 Å
α = 90.00°, β = 90.00°, γ = 120.00°
Each line ends with the local moment (μB).
Positions (direct):
Th: 0.605 0.000 0.500  0.01
Th: 0.000 0.605 0.500  0.01
Th: 0.395 0.395 0.500  0.00
Co: 0.333 0.667 0.000  0.00
Co: 0.000 0.000 0.500  -0.12
Co: 0.667 0.333 0.000  0.00
Sb: 0.000 0.270 0.000  0.00
Sb: 0.730 0.730 0.000  -0.01
Sb: 0.270 0.000 0.000  0.00

No. 8
DFT (PBE) results for a relaxed structure of TlCoSb.

Properties
The total energy comes out at -4.31 eV per atom. The mass density comes out at 10.1 g cm⁻³.

a = 4.467 Å, b = 4.467 Å, c = 4.467 Å
α = 60.00°, β = 60.00°, γ = 60.00°
Positions (direct):
Co: 0.000 0.000 0.000
Tl: 0.750 0.750 0.750
Sb: 0.250 0.250 0.250